NbTl2CdGa: optimized geometry, PBE-GGA.

Values from the calculation:
**Calculated formation energy**: 608 meV/atom
**Raw total energy**: -3.140 eV per atom
**Symmetry**: P4/mmm (123)
**Density of states at the Fermi level**: 5.60 states/eV per cell

a b c (Å): 5.575 5.575 5.076
angles (deg): 90.00 90.00 90.00
Fractional coordinates of all 5 atoms:
Nb 0.000 0.000 0.000
Tl 0.000 0.500 0.000
Tl 0.500 0.000 0.000
Cd 0.500 0.500 0.500
Ga 0.000 0.000 0.500

=====

YNbCdGa2: optimized geometry, PBE-GGA.

Values from the calculation:
**Calculated formation energy**: 436 meV/atom
**Raw total energy**: -4.264 eV per atom
**Symmetry**: P4/mmm (123)
**Density of states at the Fermi level**: 3.97 states/eV per cell

a b c (Å): 5.093 5.093 5.293
angles (deg): 90.00 90.00 90.00
Fractional coordinates of all 5 atoms:
Y 0.000 0.000 0.000
Nb 0.000 0.000 0.500
Cd 0.500 0.500 0.000
Ga 0.000 0.500 0.500
Ga 0.500 0.000 0.500

=====

NdCd6Ga2: optimized geometry, PBE-GGA.

Values from the calculation:
**Calculated formation energy**: -202 meV/atom
**Raw total energy**: -2.015 eV per atom
**Symmetry**: P4/mmm (123)
**Density of states at the Fermi level**: 1.92 states/eV per cell

a b c (Å): 4.412 4.412 10.245
angles (deg): 90.00 90.00 90.00
Fractional coordinates of all 9 atoms:
Nd 0.000 0.000 0.000
Cd 0.000 0.000 0.500
Cd 0.000 0.500 0.280
Cd 0.000 0.500 0.720
Cd 0.500 0.000 0.280
Cd 0.500 0.000 0.720
Cd 0.500 0.500 0.500
Ga 0.500 0.500 0.118
Ga 0.500 0.500 0.882

=====

Nd2Cd16Ga: optimized geometry, PBE-GGA.

Values from the calculation:
**Calculated formation energy**: -149 meV/atom
**Raw total energy**: -1.581 eV per atom
**Symmetry**: R3m (160)
**Density of states at the Fermi level**: 4.95 states/eV per cell

a b c (Å): 7.656 7.656 7.656
angles (deg): 82.85 82.85 82.85
Fractional coordinates of all 19 atoms:
Nd 0.000 0.000 0.000
Nd 0.346 0.346 0.346
Cd 0.041 0.041 0.455
Cd 0.041 0.455 0.041
Cd 0.132 0.694 0.694
Cd 0.331 0.331 0.796
Cd 0.331 0.796 0.331
Cd 0.361 0.667 0.977
Cd 0.361 0.977 0.667
Cd 0.455 0.041 0.041
Cd 0.667 0.361 0.977
Cd 0.667 0.977 0.361
Cd 0.694 0.132 0.694
Cd 0.694 0.694 0.132
Cd 0.745 0.745 0.745
Cd 0.796 0.331 0.331
Cd 0.977 0.361 0.667
Cd 0.977 0.667 0.361
Ga 0.559 0.559 0.559